# 1
Material: YHRh3
Method: DFT, GGA-PBE
State: optimized geometry

The calculation puts the theoretical density at 9.61 g/cm3. The calculation puts the total magnetization at 0.00 μB per cell. The calculation puts the final energy at -6.83 eV per atom.

The structure belongs to space group Pm (No. 6); the cell edges are 4.1882, 5.7441 and 5.7263 Å and the angles 90.00°, 90.00° and 90.00°. The inequivalent atoms are Y at (0.0000, 0.0000, 0.0000), Y at (0.0000, 0.5000, 0.4888), H at (0.5000, 0.5000, 0.5855), H at (0.5029, 0.0000, 0.4885), Rh at (0.0000, 0.0000, 0.4962), Rh at (0.0000, 0.5000, 0.9958), Rh at (0.4999, 0.2427, 0.7520) and Rh at (0.5000, 0.2503, 0.2408).

# 2
Material: NaLiZn2Ge2
Method: DFT, GGA-PBE
State: optimized geometry

The calculation puts the theoretical density at 4.42 g/cm3. The energy relative to the elements comes out at -136 meV per atom. The calculation puts the total magnetization at 0.00 μB per cell.

The structure belongs to space group P-3m1 (No. 164); the cell edges are 4.3320, 4.3320 and 7.0667 Å and the angles 90.00°, 90.00° and 120.00°. The inequivalent atoms are Na at (0.0000, 0.0000, 0.0000), Li at (0.0000, 0.0000, 0.5000), Zn at (0.3333, 0.6667, 0.6939) and Ge at (0.3333, 0.6667, 0.2849).

# 3
Material: SrAgIO2
Method: DFT, GGA-PBE
State: optimized geometry

The calculation puts the theoretical density at 3.99 g/cm3. The calculation puts the total magnetization at 2.00 μB per cell. The formation energy without anion corrections comes out at -0.464 eV/atom.

The structure belongs to space group P4/mmm (No. 123); the cell edges are 4.5565, 4.5565 and 7.1007 Å and the angles 90.00°, 90.00° and 90.00°. The inequivalent atoms are Sr at (0.0000, 0.0000, 0.0000), Ag at (0.5000, 0.5000, 0.5000), I at (0.0000, 0.0000, 0.5000) and O at (0.0000, 0.5000, 0.0000).

# 4
Material: SrAl2W
Method: DFT, GGA-PBE
State: optimized geometry

The calculation puts the theoretical density at 6.51 g/cm3. The energy relative to the elements comes out at 727 meV per atom. The calculation puts the total magnetization at 0.00 μB per cell.

The structure belongs to space group I-4m2 (No. 119); the cell edges are 4.2002, 4.2002 and 9.4106 Å and the angles 90.00°, 90.00° and 90.00°. The inequivalent atoms are Sr at (0.0000, 0.0000, 0.0000), Al at (0.0000, 0.0000, 0.5000), Al at (0.0000, 0.5000, 0.2500) and W at (0.0000, 0.5000, 0.7500).

# 5
Material: ScTc2Se
Method: DFT, GGA-PBE
State: optimized geometry

The calculation puts the theoretical density at 8.41 g/cm3. The calculation puts the total magnetization at 0.00 μB per cell. The formation energy without anion corrections comes out at 0.017 eV/atom.

The structure belongs to space group I-4m2 (No. 119); the cell edges are 3.7875, 3.7875 and 8.8055 Å and the angles 90.00°, 90.00° and 90.00°. The inequivalent atoms are Sc at (0.0000, 0.0000, 0.0000), Tc at (0.0000, 0.0000, 0.5000), Tc at (0.0000, 0.5000, 0.2500) and Se at (0.0000, 0.5000, 0.7500).

# 6
Material: Sm6Bi2N
Method: DFT, GGA-PBE
State: optimized geometry

The calculation puts the theoretical density at 7.34 g/cm3. The calculation puts the total magnetization at 0.00 μB per cell. The formation energy without anion corrections comes out at -0.442 eV/atom.

The structure belongs to space group P4_2/mnm (No. 136); the cell edges are 6.6747, 6.6747 and 13.5553 Å and the angles 90.00°, 90.00° and 90.00°. The inequivalent atoms are Sm at (0.1836, 0.1836, 0.1278), Sm at (0.2214, 0.2214, 0.5000), Bi at (0.0000, 0.0000, 0.3209) and N at (0.0000, 0.0000, 0.0000).